# V4Ir2Pt

V4Ir2Pt after structural relaxation (GGA-PBE, Alexandria via LeMat-Bulk).

a b c (Å): 4.5981 4.5981 12.4091
angles (deg): 90.00 90.00 90.00
Last column: nearest neighbours and their distance in Å.
Space group I4/mmm (No. 139)
Asymmetric unit:
1 V 0.0000 0.0000 0.2018 [4 per cell]  1 Ir 2.33, 1 Pt 2.50
2 V 0.0000 0.5000 0.0000 [4 per cell]  2 Pt 2.30
3 Ir 0.0000 0.0000 0.3898 [4 per cell]  1 V 2.33
4 Pt 0.0000 0.0000 0.0000 [2 per cell]  6 V 2.30-2.50

ΔE_f = 0.739 eV per atom